1.
Compound: ScTa
Source: Alexandria
Functional: PBE-GGA
Structure: optimized geometry

Calculated values
SG ... C2/m
Final energy ... -8.9496 eV per atom
V ... 166.3 Å³/cell
ΔE_f ... 142 meV per atom
Total magnetization ... 0.00 μB per cell
Energy relative to the lowest polymorph listed for this composition ... 7 kJ/mol of formula units

```
data_ScTa
_symmetry_space_group_name_H-M 'P 1'
_symmetry_Int_Tables_number 1
_cell_length_a 9.876
_cell_length_b 3.382
_cell_length_c 4.979
_cell_angle_alpha 90.00
_cell_angle_beta 90.84
_cell_angle_gamma 90.00
loop_
_symmetry_equiv_pos_as_xyz
'x,y,z'
loop_
_atom_site_label
_atom_site_type_symbol
_atom_site_fract_x
_atom_site_fract_y
_atom_site_fract_z
Sc1 Sc 0.854 0.000 0.172
Sc2 Sc 0.146 0.000 0.828
Sc3 Sc 0.854 0.500 0.672
Sc4 Sc 0.146 0.500 0.328
Ta1 Ta 0.389 0.000 0.241
Ta2 Ta 0.611 0.000 0.759
Ta3 Ta 0.389 0.500 0.741
Ta4 Ta 0.611 0.500 0.259
```


2.
Compound: ScTa
Source: Alexandria
Functional: PBE-GGA
Structure: optimized geometry

Calculated values
SG ... Pm-3m
Final energy ... -8.6266 eV per atom
V ... 40.2 Å³/cell
ΔE_f ... 466 meV per atom
Total magnetization ... 0.00 μB per cell
Energy relative to the lowest polymorph listed for this composition ... 69 kJ/mol of formula units

```
data_ScTa
_symmetry_space_group_name_H-M 'P 1'
_symmetry_Int_Tables_number 1
_cell_length_a 3.425
_cell_length_b 3.425
_cell_length_c 3.425
_cell_angle_alpha 90.00
_cell_angle_beta 90.00
_cell_angle_gamma 90.00
loop_
_symmetry_equiv_pos_as_xyz
'x,y,z'
loop_
_atom_site_label
_atom_site_type_symbol
_atom_site_fract_x
_atom_site_fract_y
_atom_site_fract_z
Sc1 Sc 0.000 0.000 0.000
Ta1 Ta 0.500 0.500 0.500
```


3.
Compound: TbSc2Ta
Source: Alexandria
Functional: PBE-GGA
Structure: optimized geometry

Calculated values
SG ... P4/mmm
Final energy ... -7.0646 eV per atom
V ... 95.5 Å³/cell
ΔE_f ... 222 meV per atom
Total magnetization ... 0.00 μB per cell
Energy relative to the lowest polymorph listed for this composition ... 9 kJ/mol of formula units

```
data_TbSc2Ta
_symmetry_space_group_name_H-M 'P 1'
_symmetry_Int_Tables_number 1
_cell_length_a 3.699
_cell_length_b 3.699
_cell_length_c 6.981
_cell_angle_alpha 90.00
_cell_angle_beta 90.00
_cell_angle_gamma 90.00
loop_
_symmetry_equiv_pos_as_xyz
'x,y,z'
loop_
_atom_site_label
_atom_site_type_symbol
_atom_site_fract_x
_atom_site_fract_y
_atom_site_fract_z
Sc1 Sc 0.000 0.000 0.793
Sc2 Sc 0.000 0.000 0.207
Tb1 Tb 0.500 0.500 0.500
Ta1 Ta 0.500 0.500 0.000
```


4.
Compound: TbSc2Ta
Source: Alexandria
Functional: PBE-GGA
Structure: optimized geometry

Calculated values
SG ... R-3m
Final energy ... -7.0870 eV per atom
V ... 94.9 Å³/cell
ΔE_f ... 199 meV per atom
Total magnetization ... 0.00 μB per cell
Energy relative to the lowest polymorph listed for this composition ... 0 kJ/mol of formula units

```
data_TbSc2Ta
_symmetry_space_group_name_H-M 'P 1'
_symmetry_Int_Tables_number 1
_cell_length_a 3.193
_cell_length_b 3.193
_cell_length_c 10.908
_cell_angle_alpha 81.58
_cell_angle_beta 81.58
_cell_angle_gamma 60.00
loop_
_symmetry_equiv_pos_as_xyz
'x,y,z'
loop_
_atom_site_label
_atom_site_type_symbol
_atom_site_fract_x
_atom_site_fract_y
_atom_site_fract_z
Sc1 Sc 0.259 0.259 0.223
Sc2 Sc 0.741 0.741 0.777
Tb1 Tb 0.500 0.500 0.500
Ta1 Ta 0.000 0.000 0.000
```